Record 1
Compound: La2ScMo
Source: Alexandria via LeMat-Bulk
Functional: PBE
Structure: relaxed

Output
Distance to the lowest polymorph of the same formula   67.0 meV/atom
Energy relative to the elements   0.32 eV per atom
Theoretical density   6.65 g/cm3
N(E_F)   4.1 states/eV per cell
Raw total energy   -6.4385 eV per atom

Cell lengths 3.384, 4.672, 6.794 Å; angles 90.00, 103.27, 90.00 degrees
Space group Pm (No. 6)
Unique sites:
La: 0.000 0.000 0.000 (multiplicity 1)
La: 0.322 0.500 0.671 (multiplicity 1)
Sc: 0.754 0.000 0.416 (multiplicity 1)
Mo: 0.332 0.500 0.244 (multiplicity 1)

=====

Record 2
Compound: PaAg3Pb2Se6
Source: Alexandria via LeMat-Bulk
Functional: PBE
Structure: relaxed

Output
Formation energy (no corrections)   -58.1 kJ/mol of atoms
Theoretical density   7.48 g/cm3
Raw total energy   -4.4670 eV per atom

Cell lengths 7.417, 13.520, 6.653 Å; angles 90.00, 106.36, 90.00 degrees
Space group C2/m (No. 12)
Unique sites:
Pa: 0.000 0.000 0.000 (multiplicity 2)
Ag: 0.000 0.113 0.500 (multiplicity 4)
Ag: 0.000 0.500 0.500 (multiplicity 2)
Pb: 0.000 0.317 0.000 (multiplicity 4)
Se: 0.221 0.149 0.255 (multiplicity 8)
Se: 0.229 0.500 0.222 (multiplicity 4)

=====

Record 3
Compound: La2BeTeF
Source: Alexandria via LeMat-Bulk
Functional: PBE
Structure: relaxed

Output
Formation energy (no corrections)   -68.9 kJ/mol of atoms
Theoretical density   5.42 g/cm3
N(E_F)   3.7 states/eV per cell
Raw total energy   -4.4328 eV per atom

Cell lengths 5.386, 5.386, 4.573 Å; angles 90.00, 90.00, 90.00 degrees
Space group P4/mmm (No. 123)
Unique sites:
La: 0.000 0.500 0.000 (multiplicity 2)
Be: 0.000 0.000 0.000 (multiplicity 1)
Te: 0.000 0.000 0.500 (multiplicity 1)
F: 0.500 0.500 0.500 (multiplicity 1)

=====

Record 4
Compound: SmCu3Pd
Source: Alexandria via LeMat-Bulk
Functional: PBE
Structure: relaxed

Output
Energy relative to the elements   0.10 eV per atom
Theoretical density   7.12 g/cm3
N(E_F)   11.2 states/eV per cell
Raw total energy   -4.3426 eV per atom

Cell lengths 4.902, 4.902, 17.372 Å; angles 90.00, 90.00, 90.00 degrees
Space group I-4m2 (No. 119)
Unique sites:
Sm: 0.000 0.000 0.165 (multiplicity 4)
Cu: 0.000 0.245 0.622 (multiplicity 8)
Cu: 0.000 0.500 0.056 (multiplicity 4)
Pd: 0.000 0.000 0.500 (multiplicity 2)
Pd: 0.000 0.500 0.750 (multiplicity 2)

=====

Magnetic moment values (in μB per formula unit) by entry order: 0.00, 0.00, 0.00, 0.00.